! GGA-PBE CdCuSbTe2, optimized geometry; values from VASP
&SYSTEM
  ibrav = 0, nat = 5, ntyp = 4
/
ATOMIC_SPECIES
Sb 121.76 Sb.upf
Te 127.60 Te.upf
Cu 63.55 Cu.upf
Cd 112.41 Cd.upf
ATOMIC_POSITIONS angstrom
Sb 0.550 -0.477 2.350
Te 0.416 -2.569 -0.618
Te -2.574 -0.536 0.493
Cu 0.000 0.000 0.000
Cd -1.608 -3.582 2.226
CELL_PARAMETERS angstrom
-5.148 -1.071 0.987
0.832 -5.139 -1.236
1.099 -0.953 4.701
! Crystal system   tetragonal
! Raw total energy   -2.7005 eV/atom
! Formation energy (no corrections)   0.3829 eV/atom

! GGA-PBE Zr5Te3, optimized geometry; values from VASP
&SYSTEM
  ibrav = 0, nat = 8, ntyp = 2
/
ATOMIC_SPECIES
Zr 91.22 Zr.upf
Te 127.60 Te.upf
ATOMIC_POSITIONS angstrom
Zr 0.000 0.000 0.000
Zr 0.665 -2.748 -1.104
Zr -2.968 -0.507 0.381
Zr -0.918 -2.717 1.852
Zr -2.825 -5.413 1.254
Te -2.303 -3.255 -0.723
Te -3.974 -2.769 2.412
Te 0.230 -5.361 0.694
CELL_PARAMETERS angstrom
-5.936 -1.015 0.762
1.331 -5.495 -2.208
0.861 -1.620 4.552
! Crystal system   orthorhombic
! Raw total energy   -7.0742 eV/atom
! Formation energy (no corrections)   -0.5535 eV/atom

! GGA-PBE CsGaHgCl2, optimized geometry; values from VASP
&SYSTEM
  ibrav = 0, nat = 5, ntyp = 4
/
ATOMIC_SPECIES
Cs 132.91 Cs.upf
Hg 200.59 Hg.upf
Ga 69.72 Ga.upf
Cl 35.45 Cl.upf
ATOMIC_POSITIONS angstrom
Cs 2.819 2.819 2.631
Hg 0.000 0.000 2.631
Ga 0.000 0.000 0.000
Cl 0.000 2.819 0.000
Cl 2.819 0.000 0.000
CELL_PARAMETERS angstrom
5.639 0.000 0.000
0.000 5.639 0.000
0.000 0.000 5.262
! Crystal system   tetragonal
! Raw total energy   -2.5845 eV/atom
! Formation energy (no corrections)   -1.0094 eV/atom

! GGA-PBE PmSmThAl, optimized geometry; values from VASP
&SYSTEM
  ibrav = 0, nat = 4, ntyp = 4
/
ATOMIC_SPECIES
Al 26.98 Al.upf
Sm 150.36 Sm.upf
Th 232.04 Th.upf
Pm 145.00 Pm.upf
ATOMIC_POSITIONS angstrom
Al 2.728 1.575 1.114
Sm 5.456 3.150 2.227
Th 0.000 0.000 0.000
Pm 8.184 4.725 3.341
CELL_PARAMETERS angstrom
5.456 0.000 0.000
2.728 4.725 0.000
2.728 1.575 4.455
! Crystal system   cubic
! Raw total energy   -5.1462 eV/atom

! GGA-PBE CsHf2O, optimized geometry; values from VASP
&SYSTEM
  ibrav = 0, nat = 8, ntyp = 3
/
ATOMIC_SPECIES
Cs 132.91 Cs.upf
Hf 178.49 Hf.upf
O 16.00 O.upf
ATOMIC_POSITIONS angstrom
Cs 0.000 0.000 0.000
Cs 1.779 -3.941 6.802
Hf 0.888 -1.973 3.403
Hf 4.106 -3.164 3.601
Hf 5.734 -3.203 6.627
Hf 4.766 -5.409 9.078
O 2.241 -3.400 2.653
O 5.968 -2.934 4.553
CELL_PARAMETERS angstrom
-1.948 -4.407 4.902
6.430 -2.393 0.404
3.265 -0.075 6.049
! Crystal system   cubic
! Raw total energy   -6.8662 eV/atom
! Formation energy (no corrections)   -0.4366 eV/atom

! GGA-PBE ZnSIN2, optimized geometry; values from VASP
&SYSTEM
  ibrav = 0, nat = 5, ntyp = 4
/
ATOMIC_SPECIES
I 126.90 I.upf
Zn 65.41 Zn.upf
S 32.06 S.upf
N 14.01 N.upf
ATOMIC_POSITIONS angstrom
I -0.714 1.308 3.325
Zn 0.000 0.000 0.000
S -1.121 -1.284 4.257
N 1.147 -1.390 0.793
N -1.554 -1.202 0.139
CELL_PARAMETERS angstrom
-3.107 -2.404 0.278
2.294 -2.781 1.587
-1.428 2.616 6.650
! Crystal system   tetragonal
! Raw total energy   -3.1105 eV/atom
! Formation energy (no corrections)   1.6100 eV/atom

! GGA-PBE CuWS3, optimized geometry; values from VASP
&SYSTEM
  ibrav = 0, nat = 5, ntyp = 3
/
ATOMIC_SPECIES
S 32.06 S.upf
Cu 63.55 Cu.upf
W 183.84 W.upf
ATOMIC_POSITIONS angstrom
S 0.000 2.336 0.000
S 0.000 0.000 2.336
S 2.336 0.000 0.000
Cu 2.336 2.336 2.336
W 0.000 0.000 0.000
CELL_PARAMETERS angstrom
4.673 0.000 0.000
0.000 4.673 0.000
0.000 0.000 4.673
! Crystal system   cubic
! Raw total energy   -5.5264 eV/atom
! Formation energy (no corrections)   0.3600 eV/atom

! GGA-PBE SrLi2Al, optimized geometry; values from VASP
&SYSTEM
  ibrav = 0, nat = 4, ntyp = 3
/
ATOMIC_SPECIES
Al 26.98 Al.upf
Li 6.94 Li.upf
Sr 87.62 Sr.upf
ATOMIC_POSITIONS angstrom
Al 2.772 -5.242 -1.096
Li 2.413 -6.006 1.722
Li 1.491 -3.711 1.064
Sr 1.470 -2.003 -2.025
CELL_PARAMETERS angstrom
-1.513 -1.491 -3.079
3.152 0.722 -1.899
2.603 -6.478 1.857
! Crystal system   tetragonal
! Raw total energy   -2.2532 eV/atom